This record from Alexandria describes a geometry-optimized DyZnPd5 structure. The functional is PBE.

Calculated values
As for the calculated total energy: -35.77 eV for the cell shown. For the energy relative to the lowest polymorph listed for this composition, the calculation gives 0.000 eV/f.u. Its formation energy is -0.56 eV per atom. The theoretical density comes out at 10.38 g/cm3. For the volume, the calculation gives 122 Å³ per cell.

a b c (Å): 4.1482 4.1482 7.0630
angles (deg): 90.00 90.00 90.00
Last column: nearest neighbours and their distance in Å.
Space group P4/mmm (No. 123)
Inequivalent atoms, fractional coordinates:
Dy1 0.0000 0.0000 0.0000  12 Pd 2.90-2.93
Zn1 0.5000 0.5000 0.5000  8 Pd 2.57
Pd1 0.0000 0.5000 0.2863  2 Zn 2.57
Pd2 0.5000 0.5000 0.0000  8 Pd 2.90, 4 Dy 2.93

This record from Alexandria describes a geometry-optimized Dy6Zn2Pd structure. The functional is PBE.

Calculated values
As for the calculated total energy: -73.30 eV for the cell shown. For the energy relative to the lowest polymorph listed for this composition, the calculation gives 1.455 eV/f.u. Its formation energy is -0.14 eV per atom. The theoretical density comes out at 7.94 g/cm3. For the volume, the calculation gives 507 Å³ per cell.

a b c (Å): 4.9527 6.9608 14.7015
angles (deg): 90.00 90.00 90.00
Last column: nearest neighbours and their distance in Å.
Space group Immm (No. 71)
Inequivalent atoms, fractional coordinates:
Dy1 0.0000 0.2472 0.0000  2 Pd 3.02, 2 Zn 3.02
Dy2 0.0000 0.2512 0.3368  1 Pd 2.96, 3 Zn 3.03-3.04
Zn1 0.0000 0.5000 0.1671  8 Dy 3.02-3.04
Pd1 0.0000 0.5000 0.5000  8 Dy 2.96-3.02

Copy entry 1 word for word.
This record from Alexandria describes a geometry-optimized DyZnPd5 structure. The functional is PBE.

Calculated values
As for the calculated total energy: -35.77 eV for the cell shown. For the energy relative to the lowest polymorph listed for this composition, the calculation gives 0.000 eV/f.u. Its formation energy is -0.56 eV per atom. The theoretical density comes out at 10.38 g/cm3. For the volume, the calculation gives 122 Å³ per cell.

a b c (Å): 4.1482 4.1482 7.0630
angles (deg): 90.00 90.00 90.00
Last column: nearest neighbours and their distance in Å.
Space group P4/mmm (No. 123)
Inequivalent atoms, fractional coordinates:
Dy1 0.0000 0.0000 0.0000  12 Pd 2.90-2.93
Zn1 0.5000 0.5000 0.5000  8 Pd 2.57
Pd1 0.0000 0.5000 0.2863  2 Zn 2.57
Pd2 0.5000 0.5000 0.0000  8 Pd 2.90, 4 Dy 2.93

What did the second record say?
This record from Alexandria describes a geometry-optimized Dy6Zn2Pd structure. The functional is PBE.

Calculated values
As for the calculated total energy: -73.30 eV for the cell shown. For the energy relative to the lowest polymorph listed for this composition, the calculation gives 1.455 eV/f.u. Its formation energy is -0.14 eV per atom. The theoretical density comes out at 7.94 g/cm3. For the volume, the calculation gives 507 Å³ per cell.

a b c (Å): 4.9527 6.9608 14.7015
angles (deg): 90.00 90.00 90.00
Last column: nearest neighbours and their distance in Å.
Space group Immm (No. 71)
Inequivalent atoms, fractional coordinates:
Dy1 0.0000 0.2472 0.0000  2 Pd 3.02, 2 Zn 3.02
Dy2 0.0000 0.2512 0.3368  1 Pd 2.96, 3 Zn 3.03-3.04
Zn1 0.0000 0.5000 0.1671  8 Dy 3.02-3.04
Pd1 0.0000 0.5000 0.5000  8 Dy 2.96-3.02